# 1
Ba2CaTlS: relaxed, PBE.

```
5
Lattice="6.197 0.000 0.000 0.000 6.197 0.000 0.000 0.000 5.301" Properties=species:S:1:pos:R:3 pbc="T T T"
Ba 0.000 3.099 0.000
Ba 3.099 0.000 0.000
Ca 0.000 0.000 2.651
Tl 3.099 3.099 2.651
S 0.000 0.000 0.000
```

Calculated values
- D(E_F) (states/eV/f.u.) = 3.74
- E_tot (eV/atom) = -3.36
- total moment (μB per cell) = 0.0

# 2
Dy8Er3Sc2: relaxed, PBE.

```
13
Lattice="9.704 -3.809 0.000 9.704 3.809 0.000 -0.002 0.000 5.546" Properties=species:S:1:pos:R:3 pbc="T T T"
Dy 7.539 2.214 5.545
Dy 3.401 0.000 2.776
Dy 11.867 2.214 0.001
Dy 7.094 0.000 2.774
Dy 12.313 0.000 2.773
Dy 7.539 -2.214 5.545
Dy 16.006 0.000 2.770
Dy 11.867 -2.214 0.001
Er 9.703 2.178 2.773
Er 9.704 0.000 0.000
Er 9.703 -2.178 2.773
Sc 5.030 0.000 0.003
Sc 14.377 0.000 5.544
```

Calculated values
- D(E_F) (states/eV/f.u.) = 18.27
- ΔE to the lowest computed polymorph (kJ per mole of atoms) = 0.3
- E_tot (eV/atom) = -4.63
- total moment (μB per cell) = 0.0
- ΔE_f (meV/atom) = 232.6